[1]
DFT (PBE-GGA) results for an optimized crystal structure of SnHg2Au6.

abc: 6.3530 15.1784 4.1717
angles: 90.00 108.70 90.00
Space group C2/m (No. 12)
Inequivalent atoms, fractional coordinates:
Sn1 0.0000 0.0000 0.0000
Hg1 0.0000 0.3347 0.5000
Au1 0.1635 0.1673 0.8320
Au2 0.1678 0.5000 0.3308

Computed properties:
Magnetization, μB per formula unit: 0.0
V, Å³/cell: 381.0
DFT formation energy, eV per atom: 0.0501
Total energy, eV for the cell shown: -47.64



[2]
DFT (PBE-GGA) results for an optimized crystal structure of SnHg3Au.

abc: 5.5721 5.5721 5.5721
angles: 90.00 90.00 90.00
Space group Pm-3m (No. 221)
Inequivalent atoms, fractional coordinates:
Sn1 0.0000 0.0000 0.0000
Hg1 0.0000 0.0000 0.5000
Au1 0.5000 0.5000 0.5000

Computed properties:
Magnetization, μB per formula unit: 0.0
V, Å³/cell: 173.0
Excess energy over the best structure of this formula in the dataset, meV/atom: 108.0
DFT formation energy, eV per atom: 0.3991
Total energy, eV for the cell shown: -6.19



[3]
DFT (PBE-GGA) results for an optimized crystal structure of SnHg2Au.

abc: 4.3712 4.3712 4.9103
angles: 90.00 90.00 90.00
Space group P4/mmm (No. 123)
Inequivalent atoms, fractional coordinates:
Sn1 0.0000 0.0000 0.0000
Hg1 0.0000 0.5000 0.5000
Au1 0.5000 0.5000 0.0000

Computed properties:
Magnetization, μB per formula unit: 0.0
V, Å³/cell: 93.8
DFT formation energy, eV per atom: 0.0796
Total energy, eV for the cell shown: -7.57



[4]
DFT (PBE-GGA) results for an optimized crystal structure of Sn2HgAu.

abc: 3.6029 3.6029 7.5230
angles: 90.00 90.00 90.00
Space group P4/mmm (No. 123)
Inequivalent atoms, fractional coordinates:
Sn1 0.0000 0.0000 0.2232
Hg1 0.5000 0.5000 0.5000
Au1 0.5000 0.5000 0.0000

Computed properties:
Magnetization, μB per formula unit: 0.0
V, Å³/cell: 97.7
DFT formation energy, eV per atom: -0.0048
Total energy, eV for the cell shown: -11.60